# 1
CaPm5Ga6: relaxed, PBE.

Values from the calculation:
Formation enthalpy at 0 K: -6.55 eV/f.u.
Crystal system: orthorhombic
Theoretical density: 6.6 g/cm³
SG: Immm, No. 71

Structure (CIF):
```
data_CaPm5Ga6
_symmetry_space_group_name_H-M 'P 1'
_symmetry_Int_Tables_number 1
_cell_length_a 5.1776
_cell_length_b 7.3235
_cell_length_c 9.0100
_cell_angle_alpha 113.98
_cell_angle_beta 106.69
_cell_angle_gamma 90.00
loop_
_symmetry_equiv_pos_as_xyz
'x,y,z'
loop_
_atom_site_label
_atom_site_fract_x
_atom_site_fract_y
_atom_site_fract_z
_atom_site_occupancy
Pm1 0.6583 0.1587 0.3174 1
Pm2 0.0000 0.5000 0.0000 1
Pm3 0.3294 0.3288 0.6577 1
Pm4 0.3417 0.8413 0.6826 1
Pm5 0.6706 0.6712 0.3423 1
Ga1 0.1658 0.9127 0.3330 1
Ga2 0.1657 0.4203 0.3331 1
Ga3 0.8342 0.0873 0.6670 1
Ga4 0.8343 0.5797 0.6669 1
Ga5 0.5000 0.2580 0.0000 1
Ga6 0.5000 0.7420 0.0000 1
Ca1 0.0000 0.0000 0.0000 1
```

---

# 2
TaTe6Au2: relaxed, PBE.

Values from the calculation:
Crystal system: trigonal
Theoretical density: 7.8 g/cm³
SG: R3, No. 146
ΔE_f (raw): 71 meV/atom

Structure (CIF):
```
data_TaTe6Au2
_symmetry_space_group_name_H-M 'P 1'
_symmetry_Int_Tables_number 1
_cell_length_a 6.4859
_cell_length_b 6.4859
_cell_length_c 8.6926
_cell_angle_alpha 68.09
_cell_angle_beta 68.09
_cell_angle_gamma 60.00
loop_
_symmetry_equiv_pos_as_xyz
'x,y,z'
loop_
_atom_site_label
_atom_site_fract_x
_atom_site_fract_y
_atom_site_fract_z
_atom_site_occupancy
Au1 0.5911 0.5911 0.2266 1
Au2 0.7133 0.7133 0.8601 1
Te1 0.7715 0.3448 0.7450 1
Te2 0.5893 0.0092 0.2371 1
Te3 0.0092 0.1644 0.2371 1
Te4 0.1387 0.7715 0.7450 1
Te5 0.1644 0.5893 0.2371 1
Te6 0.3448 0.1387 0.7450 1
Ta1 0.3433 0.3433 0.9700 1
```

---

# 3
ZnF3: relaxed, PBE.

Values from the calculation:
Crystal system: tetragonal
Theoretical density: 4.3 g/cm³
SG: P4mm, No. 99
ΔE_f (raw): -1280 meV/atom

Structure (CIF):
```
data_ZnF3
_symmetry_space_group_name_H-M 'P 1'
_symmetry_Int_Tables_number 1
_cell_length_a 3.1318
_cell_length_b 3.1318
_cell_length_c 4.8730
_cell_angle_alpha 90.00
_cell_angle_beta 90.00
_cell_angle_gamma 90.00
loop_
_symmetry_equiv_pos_as_xyz
'x,y,z'
loop_
_atom_site_label
_atom_site_fract_x
_atom_site_fract_y
_atom_site_fract_z
_atom_site_occupancy
F1 0.5000 0.0000 0.6471 1
F2 0.0000 0.5000 0.6471 1
F3 0.5000 0.5000 0.0965 1
Zn1 0.0000 0.0000 0.9425 1
```

---

# 4
MnNi2P: relaxed, PBE.

Values from the calculation:
Formation enthalpy at 0 K: -0.12 eV/f.u.
Crystal system: tetragonal
Theoretical density: 6.8 g/cm³
SG: I-42d, No. 122

Structure (CIF):
```
data_MnNi2P
_symmetry_space_group_name_H-M 'P 1'
_symmetry_Int_Tables_number 1
_cell_length_a 3.4955
_cell_length_b 3.4955
_cell_length_c 8.5135
_cell_angle_alpha 78.15
_cell_angle_beta 78.15
_cell_angle_gamma 90.00
loop_
_symmetry_equiv_pos_as_xyz
'x,y,z'
loop_
_atom_site_label
_atom_site_fract_x
_atom_site_fract_y
_atom_site_fract_z
_atom_site_occupancy
P1 0.2500 0.7500 0.5000 1
P2 0.5000 0.5000 0.0000 1
Ni1 0.3750 0.3923 0.7500 1
Ni2 0.8750 0.8577 0.7500 1
Ni3 0.1423 0.6250 0.2500 1
Ni4 0.6077 0.1250 0.2500 1
Mn1 0.7500 0.2500 0.5000 1
Mn2 0.0000 0.0000 0.0000 1
```

---

# 5
MnTc3Br: relaxed, PBE.

Values from the calculation:
Crystal system: cubic
Theoretical density: 7.7 g/cm³
SG: Pm-3m, No. 221
ΔE_f (raw): 1543 meV/atom

Structure (CIF):
```
data_MnTc3Br
_symmetry_space_group_name_H-M 'P 1'
_symmetry_Int_Tables_number 1
_cell_length_a 4.5252
_cell_length_b 4.5252
_cell_length_c 4.5252
_cell_angle_alpha 90.00
_cell_angle_beta 90.00
_cell_angle_gamma 90.00
loop_
_symmetry_equiv_pos_as_xyz
'x,y,z'
loop_
_atom_site_label
_atom_site_fract_x
_atom_site_fract_y
_atom_site_fract_z
_atom_site_occupancy
Tc1 0.5000 0.0000 0.0000 1
Tc2 0.0000 0.0000 0.5000 1
Tc3 0.0000 0.5000 0.0000 1
Br1 0.5000 0.5000 0.5000 1
Mn1 0.0000 0.0000 0.0000 1
```

---

# 6
SbTe2HS: relaxed, PBE.

Values from the calculation:
Crystal system: tetragonal
Total energy: -15.210 eV for the cell shown
Theoretical density: 5.4 g/cm³
SG: P4/mmm, No. 123

Structure (CIF):
```
data_SbTe2HS
_symmetry_space_group_name_H-M 'P 1'
_symmetry_Int_Tables_number 1
_cell_length_a 4.2081
_cell_length_b 4.2081
_cell_length_c 7.0877
_cell_angle_alpha 90.00
_cell_angle_beta 90.00
_cell_angle_gamma 90.00
loop_
_symmetry_equiv_pos_as_xyz
'x,y,z'
loop_
_atom_site_label
_atom_site_fract_x
_atom_site_fract_y
_atom_site_fract_z
_atom_site_occupancy
S1 0.5000 0.5000 0.5000 1
Te1 0.5000 0.0000 0.0000 1
Te2 0.0000 0.5000 0.0000 1
H1 0.0000 0.0000 0.0000 1
Sb1 0.0000 0.0000 0.5000 1
```

---

# 7
SmHo5Er: relaxed, PBE.

Values from the calculation:
Formation enthalpy at 0 K: 6.99 eV/f.u.
Crystal system: orthorhombic
Theoretical density: 6.7 g/cm³
SG: Imm2, No. 44

Structure (CIF):
```
data_SmHo5Er
_symmetry_space_group_name_H-M 'P 1'
_symmetry_Int_Tables_number 1
_cell_length_a 6.1283
_cell_length_b 7.9735
_cell_length_c 7.7012
_cell_angle_alpha 121.18
_cell_angle_beta 113.45
_cell_angle_gamma 90.00
loop_
_symmetry_equiv_pos_as_xyz
'x,y,z'
loop_
_atom_site_label
_atom_site_fract_x
_atom_site_fract_y
_atom_site_fract_z
_atom_site_occupancy
Er1 0.9355 0.0000 0.0000 1
Sm1 0.6975 0.5000 0.0000 1
Ho1 0.4335 0.8214 0.0000 1
Ho2 0.1859 0.2557 0.5113 1
Ho3 0.6745 0.7443 0.4887 1
Ho4 0.1703 0.5000 0.0000 1
Ho5 0.4335 0.1786 0.0000 1
```

---

# 8
Zr4CuAu: relaxed, PBE.

Values from the calculation:
Formation enthalpy at 0 K: -1.64 eV/f.u.
Crystal system: tetragonal
Theoretical density: 8.4 g/cm³
SG: P4/mmm, No. 123

Structure (CIF):
```
data_Zr4CuAu
_symmetry_space_group_name_H-M 'P 1'
_symmetry_Int_Tables_number 1
_cell_length_a 3.2651
_cell_length_b 3.2651
_cell_length_c 11.5508
_cell_angle_alpha 90.00
_cell_angle_beta 90.00
_cell_angle_gamma 90.00
loop_
_symmetry_equiv_pos_as_xyz
'x,y,z'
loop_
_atom_site_label
_atom_site_fract_x
_atom_site_fract_y
_atom_site_fract_z
_atom_site_occupancy
Zr1 0.0000 0.0000 0.6671 1
Zr2 0.5000 0.5000 0.8514 1
Zr3 0.5000 0.5000 0.1486 1
Zr4 0.0000 0.0000 0.3329 1
Au1 0.5000 0.5000 0.5000 1
Cu1 0.0000 0.0000 0.0000 1
```